Record 1
A relaxed RbMnTe2Pd crystal. Source: Alexandria, functional GGA-PBEsol.

Lattice parameters (Å, degrees): 5.1093 5.1093 5.5750 90.00 90.00 90.00
Last column: nearest neighbours and their distance in Å.
Fractional positions:
Rb1 0.0000 0.0000 0.0000  2 Mn 2.79
Mn1 0.0000 0.0000 0.5000  4 Te 2.55, 2 Rb 2.79
Te1 0.0000 0.5000 0.5000  2 Mn 2.55
Te2 0.5000 0.0000 0.5000  2 Mn 2.55
Pd1 0.5000 0.5000 0.0000  4 Rb 3.61, 8 Te 3.78

Values from the calculation:
- formation energy (no corrections) (eV per atom) = 0.556

=====

Record 2
A relaxed MnRePd3 crystal. Source: Alexandria, functional GGA-PBEsol.

Lattice parameters (Å, degrees): 4.4700 4.4700 4.4700 90.00 90.00 90.00
Last column: nearest neighbours and their distance in Å.
Fractional positions:
Mn1 0.0000 0.0000 0.0000  6 Pd 2.24
Re1 0.5000 0.5000 0.5000  12 Pd 3.16
Pd1 0.0000 0.0000 0.5000  2 Mn 2.24
Pd2 0.0000 0.5000 0.0000  2 Mn 2.24
Pd3 0.5000 0.0000 0.0000  2 Mn 2.24

Values from the calculation:
- calculated formation energy (meV per atom) = 1596

=====

Record 3
A relaxed MnPd3Ru crystal. Source: Alexandria, functional GGA-PBEsol.

Lattice parameters (Å, degrees): 4.4599 4.4599 4.4599 90.00 90.00 90.00
Last column: nearest neighbours and their distance in Å.
Fractional positions:
Mn1 0.0000 0.0000 0.0000  6 Pd 2.23
Pd1 0.0000 0.0000 0.5000  2 Mn 2.23
Pd2 0.0000 0.5000 0.0000  2 Mn 2.23
Pd3 0.5000 0.0000 0.0000  2 Mn 2.23
Ru1 0.5000 0.5000 0.5000  12 Pd 3.15

Values from the calculation:
- calculated formation energy (meV per atom) = 1399

=====

Record 4
A relaxed MnSb2Pd2 crystal. Source: Alexandria, functional GGA-PBEsol.

Lattice parameters (Å, degrees): 5.3183 5.3183 5.3183 121.40 121.40 87.59
Last column: nearest neighbours and their distance in Å.
Fractional positions:
Mn1 0.0000 0.0000 0.0000  2 Pd 2.55
Sb1 0.2500 0.7500 0.5000  4 Pd 2.68
Sb2 0.7500 0.2500 0.5000  4 Pd 2.68
Pd1 0.3324 0.3324 0.0000  1 Mn 2.55, 1 Pd 2.57, 4 Sb 2.68
Pd2 0.6676 0.6676 0.0000  1 Mn 2.55, 1 Pd 2.57, 4 Sb 2.68

Values from the calculation:
- formation energy (no corrections) (eV per atom) = 0.155

=====

Record 5
A relaxed Mn2SbPdSe crystal. Source: Alexandria, functional GGA-PBEsol.

Lattice parameters (Å, degrees): 4.4103 4.4103 5.3851 90.00 90.00 90.00
Last column: nearest neighbours and their distance in Å.
Fractional positions:
Mn1 0.0000 0.5000 0.0000  2 Se 2.21
Mn2 0.5000 0.0000 0.0000  2 Se 2.21
Sb1 0.0000 0.0000 0.5000  2 Se 2.69
Pd1 0.5000 0.5000 0.5000  4 Sb 3.12, 8 Mn 3.48
Se1 0.0000 0.0000 0.0000  4 Mn 2.21

Values from the calculation:
- formation energy (no corrections) (eV per atom) = 0.781

=====

Record 6
A relaxed MnPd3Se crystal. Source: Alexandria, functional GGA-PBEsol.

Lattice parameters (Å, degrees): 4.5817 4.5817 4.5817 90.00 90.00 90.00
Last column: nearest neighbours and their distance in Å.
Fractional positions:
Mn1 0.0000 0.0000 0.0000  12 Pd 3.24
Pd1 0.0000 0.5000 0.5000  2 Se 2.29
Pd2 0.5000 0.0000 0.5000  2 Se 2.29
Pd3 0.5000 0.5000 0.0000  2 Se 2.29
Se1 0.5000 0.5000 0.5000  6 Pd 2.29

Values from the calculation:
- formation energy (no corrections) (eV per atom) = 0.361

=====

Record 7
A relaxed MnPdSe3 crystal. Source: Alexandria, functional GGA-PBEsol.

Lattice parameters (Å, degrees): 4.8507 4.8507 4.8507 90.00 90.00 90.00
Last column: nearest neighbours and their distance in Å.
Fractional positions:
Mn1 0.0000 0.0000 0.0000  12 Se 3.43
Pd1 0.5000 0.5000 0.5000  6 Se 2.43
Se1 0.0000 0.5000 0.5000  2 Pd 2.43
Se2 0.5000 0.0000 0.5000  2 Pd 2.43
Se3 0.5000 0.5000 0.0000  2 Pd 2.43

Values from the calculation:
- formation energy (no corrections) (eV per atom) = 0.531

=====

Record 8
A relaxed TaMnPdSe2 crystal. Source: Alexandria, functional GGA-PBEsol.

Lattice parameters (Å, degrees): 4.4934 4.4934 4.6192 90.00 90.00 90.00
Last column: nearest neighbours and their distance in Å.
Fractional positions:
Ta1 0.0000 0.0000 0.0000  4 Pd 3.18, 8 Se 3.22
Mn1 0.5000 0.5000 0.5000  4 Se 2.25, 2 Pd 2.31
Pd1 0.5000 0.5000 0.0000  2 Mn 2.31
Se1 0.0000 0.5000 0.5000  2 Mn 2.25
Se2 0.5000 0.0000 0.5000  2 Mn 2.25

Values from the calculation:
- formation energy (no corrections) (eV per atom) = 0.747

=====

Record 9
A relaxed MnZnPdSe2 crystal. Source: Alexandria, functional GGA-PBEsol.

Lattice parameters (Å, degrees): 4.5388 4.5388 4.8296 90.00 90.00 90.00
Last column: nearest neighbours and their distance in Å.
Fractional positions:
Mn1 0.0000 0.0000 0.0000  4 Se 2.27, 2 Pd 2.41
Zn1 0.5000 0.5000 0.5000  4 Pd 3.21, 8 Se 3.31
Pd1 0.0000 0.0000 0.5000  2 Mn 2.41
Se1 0.0000 0.5000 0.0000  2 Mn 2.27
Se2 0.5000 0.0000 0.0000  2 Mn 2.27

Values from the calculation:
- formation energy (no corrections) (eV per atom) = 0.441

=====

Record 10
A relaxed MnZnSiPd2 crystal. Source: Alexandria, functional GGA-PBEsol.

Lattice parameters (Å, degrees): 4.5165 4.5165 4.4585 90.00 90.00 90.00
Last column: nearest neighbours and their distance in Å.
Fractional positions:
Mn1 0.0000 0.0000 0.0000  2 Zn 2.23
Zn1 0.0000 0.0000 0.5000  2 Mn 2.23, 4 Pd 2.26
Si1 0.5000 0.5000 0.0000  8 Pd 3.17, 4 Mn 3.19
Pd1 0.0000 0.5000 0.5000  2 Zn 2.26
Pd2 0.5000 0.0000 0.5000  2 Zn 2.26

Values from the calculation:
- formation energy (no corrections) (eV per atom) = 0.830

=====

Record 11
A relaxed Mn2SnPd2 crystal. Source: Alexandria, functional GGA-PBEsol.

Lattice parameters (Å, degrees): 7.5351 7.5351 7.5351 155.50 155.50 34.93
Last column: nearest neighbours and their distance in Å.
Fractional positions:
Mn1 0.2500 0.7500 0.5000  4 Mn 2.26
Mn2 0.7500 0.2500 0.5000  4 Mn 2.26
Sn1 0.0000 0.0000 0.0000  8 Pd 2.72
Pd1 0.3953 0.3953 0.0000  4 Mn 2.63, 4 Sn 2.72
Pd2 0.6047 0.6047 0.0000  4 Mn 2.63, 4 Sn 2.72

Values from the calculation:
- calculated formation energy (meV per atom) = 153

=====

Record 12
A relaxed SrMnPd3 crystal. Source: Alexandria, functional GGA-PBEsol.

Lattice parameters (Å, degrees): 4.9861 4.9861 4.9861 90.00 90.00 90.00
Last column: nearest neighbours and their distance in Å.
Fractional positions:
Sr1 0.0000 0.0000 0.0000  6 Pd 2.49
Mn1 0.5000 0.5000 0.5000  12 Pd 3.53
Pd1 0.0000 0.0000 0.5000  2 Sr 2.49
Pd2 0.0000 0.5000 0.0000  2 Sr 2.49
Pd3 0.5000 0.0000 0.0000  2 Sr 2.49

Values from the calculation:
- calculated formation energy (meV per atom) = 1333

=====

| no. | total energy (eV per atom) | calculated volume (Å³/cell) |
| --- | --- | --- |
| 1 | -4.203 | 145.5 |
| 2 | -6.598 | 89.3 |
| 3 | -6.163 | 88.7 |
| 4 | -6.004 | 104.0 |
| 5 | -5.997 | 104.7 |
| 6 | -5.937 | 96.2 |
| 7 | -4.923 | 114.1 |
| 8 | -6.448 | 93.3 |
| 9 | -4.559 | 99.5 |
| 10 | -4.972 | 90.9 |
| 11 | -6.987 | 73.5 |
| 12 | -4.563 | 124.0 |